[1]
CdAgO2F | GGA-PBEsol | optimized geometry

Cell and atoms, written as POSCAR:
```
CdAgO2F
1.0
4.031 0.000 0.000
0.000 4.031 0.000
0.000 0.000 4.035
Cd Ag O F
1 1 2 1
direct
0.000 0.000 0.000 Cd
0.500 0.500 0.500 Ag
0.000 0.500 0.500 O
0.500 0.000 0.500 O
0.500 0.500 0.000 F
```

Computed properties:
- formation energy without anion corrections (meV/atom) = -350.9
- symmetry = P4/mmm, No. 123

=====

[2]
CdFe2Ag | GGA-PBEsol | optimized geometry

Cell and atoms, written as POSCAR:
```
CdFe2Ag
1.0
2.887 0.000 0.000
0.000 4.574 0.000
0.000 0.000 8.891
Cd Fe Ag
2 4 2
direct
0.000 0.000 0.000 Cd
0.500 0.500 0.500 Cd
0.000 0.000 0.534 Fe
0.000 0.500 0.234 Fe
0.500 0.000 0.734 Fe
0.500 0.500 0.034 Fe
0.000 0.500 0.775 Ag
0.500 0.000 0.275 Ag
```

Computed properties:
- DFT formation energy (eV per atom) = 0.341
- symmetry = Imm2, No. 44

=====

[3]
CdFe2Ag | GGA-PBEsol | optimized geometry

Cell and atoms, written as POSCAR:
```
CdFe2Ag
1.0
3.259 0.000 0.000
0.000 3.259 0.000
0.000 0.000 5.589
Cd Fe Ag
1 2 1
direct
0.000 0.000 0.000 Cd
0.500 0.500 0.274 Fe
0.500 0.500 0.726 Fe
0.000 0.000 0.500 Ag
```

Computed properties:
- DFT formation energy (eV per atom) = 0.487
- symmetry = P4/mmm, No. 123

=====

[4]
Cd2FeAg | GGA-PBEsol | optimized geometry

Cell and atoms, written as POSCAR:
```
Cd2FeAg
1.0
2.890 0.000 0.000
-1.445 2.503 0.000
0.000 0.000 27.742
Cd Fe Ag
6 3 3
direct
0.000 0.000 0.246 Cd
0.000 0.000 0.754 Cd
0.333 0.667 0.421 Cd
0.333 0.667 0.913 Cd
0.667 0.333 0.087 Cd
0.667 0.333 0.579 Cd
0.000 0.000 0.500 Fe
0.333 0.667 0.167 Fe
0.667 0.333 0.833 Fe
0.000 0.000 0.000 Ag
0.333 0.667 0.667 Ag
0.667 0.333 0.333 Ag
```

Computed properties:
- DFT formation energy (eV per atom) = 0.214
- symmetry = R-3m, No. 166

=====

Calculated total DFT energy (no corrections), -3.7377, -5.2681, -5.1215, -3.4530 eV per atom (same order as the records).